1.
Density functional theory data (PBE) for a relaxed LaHfGa2 crystal.

Cell lengths 6.204, 6.204, 6.204 Å; angles 42.57, 42.57, 42.57 degrees
Positions (direct):
La: 0.000 0.000 0.000
Hf: 0.500 0.500 0.500
Ga: 0.224 0.224 0.224
Ga: 0.776 0.776 0.776

Total magnetization = 0.0 μB/f.u.
Density = 7.7 g cm⁻³
Formation energy = -344 meV/atom
Excess energy over the best structure of this formula in the dataset = 0.331 eV per formula unit
VASP energy = -0.2050 Ha/atom

=====

2.
Density functional theory data (PBE) for a relaxed SrPrEuCd crystal.

Cell lengths 5.845, 5.845, 5.845 Å; angles 60.00, 60.00, 60.00 degrees
Positions (direct):
Sr: 0.000 0.000 0.000
Pr: 0.500 0.500 0.500
Eu: 0.250 0.250 0.250
Cd: 0.750 0.750 0.750

Total magnetization = 7.6 μB/f.u.
Density = 5.8 g cm⁻³
Formation energy = -1 meV/atom
VASP energy = -0.1622 Ha/atom

=====

3.
Density functional theory data (PBE) for a relaxed RbRuO2F crystal.

Cell lengths 3.822, 3.822, 5.107 Å; angles 90.00, 90.00, 90.00 degrees
Positions (direct):
Rb: 0.000 0.000 0.000
Ru: 0.500 0.500 0.500
O: 0.000 0.500 0.500
O: 0.500 0.000 0.500
F: 0.500 0.500 0.000

Total magnetization = 0.5 μB/f.u.
Density = 5.3 g cm⁻³
Raw formation energy = -133.64 kJ per mole of atoms
VASP energy = -0.2128 Ha/atom